Here is an optimized crystal structure of AcMgSe from Alexandria via LeMat-Bulk. Energies are from GGA-PBE.

Cell lengths 4.040, 4.040, 13.120 Å; angles 90.00, 90.00, 120.00 degrees
Site moments in Bohr magnetons follow the coordinates.
Sites, in units of the cell vectors:
Se  0.000  0.000  0.669  0.01
Se  0.000  0.000  0.331  0.01
Ac  0.333  0.667  0.500  0.20
Mg  0.333  0.667  0.216  0.01
Mg  0.333  0.667  0.784  0.01
Ac  0.000  0.000  0.000  0.14

Results
Symmetry: P-6m2 (187)
ΔE_f (raw), meV per atom: -882
Theoretical density, g/cm³: 5.92
N(E_F), states/eV/f.u.: 2.1
Crystal system: hexagonal

Here is an optimized crystal structure of AcMgSe2 from Alexandria via LeMat-Bulk. Energies are from GGA-PBE.

Cell lengths 4.108, 4.108, 7.687 Å; angles 74.50, 74.50, 60.00 degrees
Site moments in Bohr magnetons follow the coordinates.
Sites, in units of the cell vectors:
Ac  0.500  0.500  0.501  0.27
Se  0.068  0.068  0.796  0.01
Se  0.264  0.264  0.208  0.01
Mg  0.668  0.668  0.995  0.01

Results
Polymorph energy (0 for the lowest one), eV per atom: 0.0000
Symmetry: R3m (160)
ΔE_f (raw), meV per atom: -1452
Theoretical density, g/cm³: 6.36
N(E_F), states/eV/f.u.: 0.7
Crystal system: trigonal

Question: Number 2 is which compound?
Answer: AcMgSe2

Question: The highest N(E_F) belongs to which entry?
Answer: AcMgSe

Question: Which formula does entry 1 have?
Answer: AcMgSe